(1)
This record from Alexandria via LeMat-Bulk describes a geometry-optimized CaAc2SiN4 structure. The functional is PBE.

symmetry	Cmcm (63)

Lattice parameters (Å, degrees): 7.020 7.020 12.458 90.00 90.00 150.41
Atoms (fractional coordinates):
Ca  0.147  0.853  0.750
Ca  0.853  0.147  0.250
Ac  0.372  0.628  0.539
Ac  0.372  0.628  0.961
Ac  0.628  0.372  0.039
Ac  0.628  0.372  0.461
Si  0.196  0.804  0.250
Si  0.804  0.196  0.750
N  0.000  0.000  0.000
N  0.000  0.000  0.500
N  0.269  0.731  0.135
N  0.269  0.731  0.365
N  0.359  0.641  0.750
N  0.641  0.359  0.250
N  0.731  0.269  0.635
N  0.731  0.269  0.865

---

(2)
This record from Alexandria via LeMat-Bulk describes a geometry-optimized CaAc2SiN structure. The functional is PBE.

symmetry	Cmcm (63)
DOS(E_F)	2.86	states/eV/f.u.

Lattice parameters (Å, degrees): 8.689 8.689 8.116 90.00 90.00 151.31
Atoms (fractional coordinates):
Ca  0.008  0.992  0.750
Ca  0.992  0.008  0.250
Ac  0.357  0.643  0.509
Ac  0.357  0.643  0.991
Ac  0.643  0.357  0.009
Ac  0.643  0.357  0.491
Si  0.190  0.810  0.750
Si  0.810  0.190  0.250
N  0.500  0.500  0.000
N  0.500  0.500  0.500

---

(3)
This record from Alexandria via LeMat-Bulk describes a geometry-optimized CaAc2SnN structure. The functional is PBE.

symmetry	P4/mmm (123)
DOS(E_F)	2.18	states/eV/f.u.

Lattice parameters (Å, degrees): 5.333 5.333 4.977 90.00 90.00 90.00
Atoms (fractional coordinates):
Ca  0.000  0.000  0.000
Ac  0.000  0.500  0.500
Ac  0.500  0.000  0.500
Sn  0.500  0.500  0.000
N  0.000  0.000  0.500

---

(4)
This record from Alexandria via LeMat-Bulk describes a geometry-optimized Ca3Ac2TaN6 structure. The functional is PBE.

symmetry	C2/m (12)
DOS(E_F)	9.46	states/eV/f.u.

Lattice parameters (Å, degrees): 6.313 6.313 6.073 99.28 99.28 121.05
Atoms (fractional coordinates):
Ca  0.000  0.000  0.000
Ca  0.352  0.648  0.000
Ca  0.648  0.352  0.000
Ac  0.169  0.831  0.500
Ac  0.831  0.169  0.500
Ta  0.500  0.500  0.500
N  0.147  0.425  0.276
N  0.282  0.282  0.719
N  0.425  0.147  0.276
N  0.575  0.853  0.724
N  0.718  0.718  0.281
N  0.853  0.575  0.724

---

(5)
This record from Alexandria via LeMat-Bulk describes a geometry-optimized Ca2AcTaN4 structure. The functional is PBE.

symmetry	Pmn2_1 (31)
DOS(E_F)	0.00	states/eV/f.u.

Lattice parameters (Å, degrees): 7.751 6.728 5.712 90.00 90.00 90.00
Atoms (fractional coordinates):
Ca  0.247  0.164  0.000
Ca  0.253  0.836  0.500
Ca  0.747  0.836  0.500
Ca  0.753  0.164  0.000
Ac  0.000  0.354  0.495
Ac  0.500  0.646  0.995
Ta  0.000  0.685  0.018
Ta  0.500  0.315  0.518
N  0.000  0.394  0.957
N  0.000  0.697  0.358
N  0.215  0.819  0.917
N  0.285  0.181  0.417
N  0.500  0.303  0.858
N  0.500  0.606  0.457
N  0.715  0.181  0.417
N  0.785  0.819  0.917

---

(6)
This record from Alexandria via LeMat-Bulk describes a geometry-optimized CaAc2TaN4 structure. The functional is PBE.

symmetry	Cmcm (63)
DOS(E_F)	2.20	states/eV/f.u.

Lattice parameters (Å, degrees): 6.595 6.595 13.436 90.00 90.00 148.17
Atoms (fractional coordinates):
Ca  0.116  0.884  0.750
Ca  0.884  0.116  0.250
Ac  0.366  0.634  0.532
Ac  0.366  0.634  0.968
Ac  0.634  0.366  0.032
Ac  0.634  0.366  0.468
Ta  0.172  0.828  0.250
Ta  0.828  0.172  0.750
N  0.000  0.000  0.000
N  0.000  0.000  0.500
N  0.271  0.729  0.142
N  0.271  0.729  0.358
N  0.406  0.594  0.750
N  0.594  0.406  0.250
N  0.729  0.271  0.642
N  0.729  0.271  0.858

---

(7)
This record from Alexandria via LeMat-Bulk describes a geometry-optimized CaAcTc2N4 structure. The functional is PBE.

symmetry	I4/mmm (139)
DOS(E_F)	3.46	states/eV/f.u.

Lattice parameters (Å, degrees): 5.361 5.361 5.361 116.52 116.52 96.14
Atoms (fractional coordinates):
Ca  0.000  0.000  0.000
Ac  0.500  0.500  0.000
Tc  0.250  0.750  0.500
Tc  0.750  0.250  0.500
N  0.000  0.000  0.500
N  0.000  0.500  0.000
N  0.500  0.000  0.000
N  0.500  0.500  0.500

---

(8)
This record from Alexandria via LeMat-Bulk describes a geometry-optimized CaAc2TcN4 structure. The functional is PBE.

symmetry	Cmcm (63)
DOS(E_F)	5.20	states/eV/f.u.

Lattice parameters (Å, degrees): 6.941 6.941 12.466 90.00 90.00 148.81
Atoms (fractional coordinates):
Ca  0.165  0.835  0.750
Ca  0.835  0.165  0.250
Ac  0.371  0.629  0.530
Ac  0.371  0.629  0.970
Ac  0.629  0.371  0.030
Ac  0.629  0.371  0.470
Tc  0.150  0.850  0.250
Tc  0.850  0.150  0.750
N  0.000  0.000  0.000
N  0.000  0.000  0.500
N  0.254  0.746  0.135
N  0.254  0.746  0.365
N  0.391  0.609  0.750
N  0.609  0.391  0.250
N  0.746  0.254  0.635
N  0.746  0.254  0.865

---

(9)
This record from Alexandria via LeMat-Bulk describes a geometry-optimized CaAc4Th3N8 structure. The functional is PBE.

symmetry	R-3m (166)
DOS(E_F)	4.90	states/eV/f.u.

Lattice parameters (Å, degrees): 7.574 7.574 7.574 59.42 59.42 59.42
Atoms (fractional coordinates):
Ca  0.000  0.000  0.000
Ac  0.000  0.000  0.500
Ac  0.000  0.500  0.000
Ac  0.500  0.000  0.000
Ac  0.500  0.500  0.500
Th  0.000  0.500  0.500
Th  0.500  0.000  0.500
Th  0.500  0.500  0.000
N  0.249  0.249  0.727
N  0.249  0.727  0.249
N  0.261  0.261  0.261
N  0.273  0.751  0.751
N  0.727  0.249  0.249
N  0.739  0.739  0.739
N  0.751  0.273  0.751
N  0.751  0.751  0.273

---

(10)
This record from Alexandria via LeMat-Bulk describes a geometry-optimized CaAc2TiN4 structure. The functional is PBE.

symmetry	Cmcm (63)

Lattice parameters (Å, degrees): 6.910 6.910 12.711 90.00 90.00 148.46
Atoms (fractional coordinates):
Ca  0.151  0.849  0.750
Ca  0.849  0.151  0.250
Ac  0.373  0.627  0.538
Ac  0.373  0.627  0.962
Ac  0.627  0.373  0.038
Ac  0.627  0.373  0.462
Ti  0.175  0.825  0.250
Ti  0.825  0.175  0.750
N  0.000  0.000  0.000
N  0.000  0.000  0.500
N  0.264  0.736  0.134
N  0.264  0.736  0.366
N  0.380  0.620  0.750
N  0.620  0.380  0.250
N  0.736  0.264  0.634
N  0.736  0.264  0.866

---

(11)
This record from Alexandria via LeMat-Bulk describes a geometry-optimized CaAc2TlN structure. The functional is PBE.

symmetry	P4/mmm (123)
DOS(E_F)	1.67	states/eV/f.u.

Lattice parameters (Å, degrees): 5.366 5.366 5.003 90.00 90.00 90.00
Atoms (fractional coordinates):
Ca  0.000  0.000  0.000
Ac  0.000  0.500  0.500
Ac  0.500  0.000  0.500
Tl  0.500  0.500  0.000
N  0.000  0.000  0.500

---

(12)
This record from Alexandria via LeMat-Bulk describes a geometry-optimized Ca3AcU2N6 structure. The functional is PBE.

symmetry	C2/m (12)
DOS(E_F)	7.35	states/eV/f.u.

Lattice parameters (Å, degrees): 8.067 8.067 7.117 101.30 101.30 25.60
Atoms (fractional coordinates):
Ca  0.000  0.000  0.000
Ca  0.326  0.326  0.664
Ca  0.674  0.674  0.336
Ac  0.000  0.000  0.500
U  0.331  0.331  0.162
U  0.669  0.669  0.838
N  0.171  0.171  0.622
N  0.182  0.182  0.070
N  0.471  0.471  0.223
N  0.529  0.529  0.777
N  0.818  0.818  0.930
N  0.829  0.829  0.378

---

(13)
This record from Alexandria via LeMat-Bulk describes a geometry-optimized CaAcUN3 structure. The functional is PBE.

symmetry	P2_1/m (11)
DOS(E_F)	3.97	states/eV/f.u.

Lattice parameters (Å, degrees): 6.320 3.821 9.824 90.00 103.69 90.00
Atoms (fractional coordinates):
Ca  0.124  0.250  0.134
Ca  0.876  0.750  0.866
Ac  0.358  0.250  0.832
Ac  0.642  0.750  0.168
U  0.269  0.750  0.448
U  0.731  0.250  0.552
N  0.065  0.750  0.268
N  0.270  0.750  0.978
N  0.459  0.250  0.384
N  0.541  0.750  0.616
N  0.730  0.250  0.022
N  0.935  0.250  0.732

---

(14)
This record from Alexandria via LeMat-Bulk describes a geometry-optimized CaAc2UN4 structure. The functional is PBE.

symmetry	P2/m (10)
DOS(E_F)	3.89	states/eV/f.u.

Lattice parameters (Å, degrees): 6.177 3.665 6.487 90.00 108.65 90.00
Atoms (fractional coordinates):
Ca  0.000  0.000  0.000
Ac  0.000  0.500  0.500
Ac  0.500  0.000  0.500
U  0.500  0.500  0.000
N  0.285  0.500  0.202
N  0.290  0.000  0.801
N  0.710  0.000  0.199
N  0.715  0.500  0.798

---

(15)
This record from Alexandria via LeMat-Bulk describes a geometry-optimized Ca2Ac3UN6 structure. The functional is PBE.

symmetry	C2/m (12)
DOS(E_F)	3.30	states/eV/f.u.

Lattice parameters (Å, degrees): 6.350 6.350 6.436 99.27 99.27 119.76
Atoms (fractional coordinates):
Ca  0.167  0.833  0.000
Ca  0.833  0.167  0.000
Ac  0.000  0.000  0.500
Ac  0.330  0.670  0.500
Ac  0.670  0.330  0.500
U  0.500  0.500  0.000
N  0.144  0.428  0.786
N  0.286  0.286  0.239
N  0.428  0.144  0.786
N  0.572  0.856  0.214
N  0.714  0.714  0.761
N  0.856  0.572  0.214

---

(16)
This record from Alexandria via LeMat-Bulk describes a geometry-optimized Ca2AcVN4 structure. The functional is PBE.

symmetry	Pmn2_1 (31)
DOS(E_F)	0.00	states/eV/f.u.

Lattice parameters (Å, degrees): 7.421 6.683 5.634 90.00 90.00 90.00
Atoms (fractional coordinates):
Ca  0.243  0.157  0.000
Ca  0.257  0.843  0.500
Ca  0.743  0.843  0.500
Ca  0.757  0.157  0.000
Ac  0.000  0.378  0.494
Ac  0.500  0.622  0.994
V  0.000  0.688  0.022
V  0.500  0.312  0.522
N  0.000  0.410  0.977
N  0.000  0.713  0.341
N  0.209  0.810  0.916
N  0.291  0.190  0.416
N  0.500  0.287  0.841
N  0.500  0.590  0.477
N  0.709  0.190  0.416
N  0.791  0.810  0.916

---

(17)
This record from Alexandria via LeMat-Bulk describes a geometry-optimized CaAc2WN4 structure. The functional is PBE.

symmetry	Cmcm (63)
DOS(E_F)	5.74	states/eV/f.u.

Lattice parameters (Å, degrees): 6.957 6.957 12.968 90.00 90.00 149.76
Atoms (fractional coordinates):
Ca  0.127  0.873  0.750
Ca  0.873  0.127  0.250
Ac  0.372  0.628  0.533
Ac  0.372  0.628  0.967
Ac  0.628  0.372  0.033
Ac  0.628  0.372  0.467
W  0.176  0.824  0.250
W  0.824  0.176  0.750
N  0.000  0.000  0.000
N  0.000  0.000  0.500
N  0.268  0.732  0.139
N  0.268  0.732  0.361
N  0.386  0.614  0.750
N  0.614  0.386  0.250
N  0.732  0.268  0.639
N  0.732  0.268  0.861

---

(18)
This record from Alexandria via LeMat-Bulk describes a geometry-optimized Ca3Ac2WN6 structure. The functional is PBE.

symmetry	C2/m (12)

Lattice parameters (Å, degrees): 6.325 6.325 5.986 99.19 99.19 121.53
Atoms (fractional coordinates):
Ca  0.000  0.000  0.000
Ca  0.355  0.645  0.000
Ca  0.645  0.355  0.000
Ac  0.169  0.831  0.500
Ac  0.831  0.169  0.500
W  0.500  0.500  0.500
N  0.157  0.427  0.281
N  0.283  0.283  0.717
N  0.427  0.157  0.281
N  0.573  0.843  0.719
N  0.717  0.717  0.283
N  0.843  0.573  0.719

---

(19)
This record from Alexandria via LeMat-Bulk describes a geometry-optimized Ca2AcWN4 structure. The functional is PBE.

symmetry	Cmcm (63)
DOS(E_F)	3.05	states/eV/f.u.

Lattice parameters (Å, degrees): 6.478 6.478 12.028 90.00 90.00 148.31
Atoms (fractional coordinates):
Ca  0.123  0.877  0.533
Ca  0.123  0.877  0.967
Ca  0.877  0.123  0.033
Ca  0.877  0.123  0.467
Ac  0.416  0.584  0.750
Ac  0.584  0.416  0.250
W  0.324  0.676  0.250
W  0.676  0.324  0.750
N  0.095  0.905  0.750
N  0.231  0.769  0.131
N  0.231  0.769  0.369
N  0.500  0.500  0.000
N  0.500  0.500  0.500
N  0.769  0.231  0.631
N  0.769  0.231  0.869
N  0.905  0.095  0.250

---

(20)
This record from Alexandria via LeMat-Bulk describes a geometry-optimized CaAcZnN2 structure. The functional is PBE.

symmetry	P2/c (13)
DOS(E_F)	2.54	states/eV/f.u.

Lattice parameters (Å, degrees): 5.986 4.642 6.862 90.00 100.19 90.00
Atoms (fractional coordinates):
Ca  0.000  0.021  0.250
Ca  0.000  0.979  0.750
Ac  0.500  0.324  0.750
Ac  0.500  0.676  0.250
Zn  0.000  0.500  0.000
Zn  0.000  0.500  0.500
N  0.254  0.245  0.034
N  0.254  0.755  0.534
N  0.746  0.245  0.466
N  0.746  0.755  0.966

---

Number 1: formation energy (no corrections) -0.911 eV/atom, total DFT energy (no corrections) -7.029 eV/atom, total moment 0.0 μB per formula unit. Number 2: formation energy (no corrections) -0.489 eV/atom, total DFT energy (no corrections) -5.283 eV/atom, total moment 0.0 μB per formula unit. Number 3: formation energy (no corrections) -0.846 eV/atom, total DFT energy (no corrections) -5.356 eV/atom, total moment 0.0 μB per formula unit. Number 4: formation energy (no corrections) -0.982 eV/atom, total DFT energy (no corrections) -7.317 eV/atom, total moment 0.3 μB per formula unit. Number 5: formation energy (no corrections) -1.242 eV/atom, total DFT energy (no corrections) -7.901 eV/atom, total moment 0.0 μB per formula unit. Number 6: formation energy (no corrections) -0.946 eV/atom, total DFT energy (no corrections) -7.868 eV/atom, total moment 0.0 μB per formula unit. Number 7: formation energy (no corrections) -0.639 eV/atom, total DFT energy (no corrections) -8.157 eV/atom, total moment 0.0 μB per formula unit. Number 8: formation energy (no corrections) -0.620 eV/atom, total DFT energy (no corrections) -7.356 eV/atom, total moment 0.0 μB per formula unit. Number 9: formation energy (no corrections) -1.286 eV/atom, total DFT energy (no corrections) -7.992 eV/atom, total moment 0.0 μB per formula unit. Number 10: formation energy (no corrections) -1.077 eV/atom, total DFT energy (no corrections) -7.504 eV/atom, total moment 0.0 μB per formula unit. Number 11: formation energy (no corrections) -0.691 eV/atom, total DFT energy (no corrections) -4.873 eV/atom, total moment 0.0 μB per formula unit. Number 12: formation energy (no corrections) -1.211 eV/atom, total DFT energy (no corrections) -8.098 eV/atom, total moment 2.9 μB per formula unit. Number 13: formation energy (no corrections) -1.040 eV/atom, total DFT energy (no corrections) -8.103 eV/atom, total moment 1.5 μB per formula unit. Number 14: formation energy (no corrections) -1.158 eV/atom, total DFT energy (no corrections) -8.009 eV/atom, total moment 0.0 μB per formula unit. Number 15: formation energy (no corrections) -1.151 eV/atom, total DFT energy (no corrections) -7.615 eV/atom, total moment 0.0 μB per formula unit. Number 16: formation energy (no corrections) -1.136 eV/atom, total DFT energy (no corrections) -7.452 eV/atom, total moment 0.0 μB per formula unit. Number 17: formation energy (no corrections) -0.711 eV/atom, total DFT energy (no corrections) -7.770 eV/atom, total moment 0.6 μB per formula unit. Number 18: formation energy (no corrections) -0.900 eV/atom, total DFT energy (no corrections) -7.327 eV/atom, total moment 0.0 μB per formula unit. Number 19: formation energy (no corrections) -0.862 eV/atom, total DFT energy (no corrections) -7.658 eV/atom, total moment 0.0 μB per formula unit. Number 20: formation energy (no corrections) -0.449 eV/atom, total DFT energy (no corrections) -5.256 eV/atom, total moment 0.0 μB per formula unit.